[1]
# La2FeAu | Alexandria via LeMat-Bulk | PBE | relaxed
data_La2FeAu
_cell_length_a 7.869
_cell_length_b 7.869
_cell_length_c 6.176
_cell_angle_alpha 90.00
_cell_angle_beta 90.00
_cell_angle_gamma 90.00
_space_group_name_H-M_alt 'I -4 2 d'
_space_group_IT_number 122
_space_group_name_Hall 'I -4 2bw'
loop_
_atom_site_label
_atom_site_type_symbol
_atom_site_fract_x
_atom_site_fract_y
_atom_site_fract_z
La1 La 0.190 0.250 0.125
Fe1 Fe 0.000 0.000 0.000
Au1 Au 0.000 0.000 0.500
# DFT total energy: -5.42 eV/atom
# ΔE_f: -21 meV/atom
# theoretical density: 9.2 Mg/m³

---

[2]
# LaFe2Au | Alexandria via LeMat-Bulk | PBE | relaxed
data_LaFe2Au
_cell_length_a 3.410
_cell_length_b 4.642
_cell_length_c 9.433
_cell_angle_alpha 90.00
_cell_angle_beta 90.00
_cell_angle_gamma 90.00
_space_group_name_H-M_alt 'I m m 2'
_space_group_IT_number 44
loop_
_space_group_symop_operation_xyz
'x,y,z'
'-x,-y,z'
'-x,y,z'
'x,-y,z'
'x+1/2,y+1/2,z+1/2'
'-x+1/2,-y+1/2,z+1/2'
'-x+1/2,y+1/2,z+1/2'
'x+1/2,-y+1/2,z+1/2'
loop_
_atom_site_label
_atom_site_type_symbol
_atom_site_fract_x
_atom_site_fract_y
_atom_site_fract_z
La1 La 0.000 0.000 0.000
Fe1 Fe 0.000 0.000 0.542
Fe2 Fe 0.000 0.500 0.220
Au1 Au 0.000 0.500 0.780
# DFT total energy: -6.15 eV/atom
# ΔE_f: 128 meV/atom
# theoretical density: 10.0 Mg/m³

---

[3]
# La2FeAu | Alexandria via LeMat-Bulk | PBE | relaxed
data_La2FeAu
_cell_length_a 5.147
_cell_length_b 5.174
_cell_length_c 7.473
_cell_angle_alpha 90.00
_cell_angle_beta 95.36
_cell_angle_gamma 90.00
_space_group_name_H-M_alt 'C 1 2/m 1'
_space_group_IT_number 12
loop_
_space_group_symop_operation_xyz
'x,y,z'
'-x,-y,-z'
'-x,y,-z'
'x,-y,z'
'x+1/2,y+1/2,z'
'-x+1/2,-y+1/2,-z'
'-x+1/2,y+1/2,-z'
'x+1/2,-y+1/2,z'
loop_
_atom_site_label
_atom_site_type_symbol
_atom_site_fract_x
_atom_site_fract_y
_atom_site_fract_z
La1 La 0.036 0.000 0.270
Fe1 Fe 0.000 0.500 0.500
Au1 Au 0.000 0.500 0.000
# DFT total energy: -5.64 eV/atom
# ΔE_f: -239 meV/atom
# theoretical density: 8.9 Mg/m³

---

[4]
# LaFeAu2 | Alexandria via LeMat-Bulk | PBE | relaxed
data_LaFeAu2
_cell_length_a 6.391
_cell_length_b 6.420
_cell_length_c 4.141
_cell_angle_alpha 90.00
_cell_angle_beta 90.00
_cell_angle_gamma 90.00
_space_group_name_H-M_alt 'C m m m'
_space_group_IT_number 65
_space_group_name_Hall '-C 2 2'
loop_
_atom_site_label
_atom_site_type_symbol
_atom_site_fract_x
_atom_site_fract_y
_atom_site_fract_z
La1 La 0.000 0.000 0.000
Fe1 Fe 0.000 0.500 0.000
Au1 Au 0.250 0.250 0.500
# DFT total energy: -5.09 eV/atom
# ΔE_f: -106 meV/atom
# theoretical density: 11.5 Mg/m³

---

[5]
# LaFeAu2 | Alexandria via LeMat-Bulk | PBE | relaxed
data_LaFeAu2
_cell_length_a 4.941
_cell_length_b 4.941
_cell_length_c 16.902
_cell_angle_alpha 90.00
_cell_angle_beta 90.00
_cell_angle_gamma 90.00
_space_group_name_H-M_alt 'I -4 2 d'
_space_group_IT_number 122
_space_group_name_Hall 'I -4 2bw'
loop_
_atom_site_label
_atom_site_type_symbol
_atom_site_fract_x
_atom_site_fract_y
_atom_site_fract_z
La1 La 0.000 0.000 0.000
Fe1 Fe 0.000 0.000 0.500
Au1 Au 0.136 0.250 0.625
# DFT total energy: -4.99 eV/atom
# ΔE_f: -3 meV/atom
# theoretical density: 9.5 Mg/m³

---

[6]
# LaFe2Au | Alexandria via LeMat-Bulk | PBE | relaxed
data_LaFe2Au
_cell_length_a 7.679
_cell_length_b 4.430
_cell_length_c 5.421
_cell_angle_alpha 90.00
_cell_angle_beta 118.33
_cell_angle_gamma 90.00
_space_group_name_H-M_alt 'C 1 2/m 1'
_space_group_IT_number 12
loop_
_space_group_symop_operation_xyz
'x,y,z'
'-x,-y,-z'
'-x,y,-z'
'x,-y,z'
'x+1/2,y+1/2,z'
'-x+1/2,-y+1/2,-z'
'-x+1/2,y+1/2,-z'
'x+1/2,-y+1/2,z'
loop_
_atom_site_label
_atom_site_type_symbol
_atom_site_fract_x
_atom_site_fract_y
_atom_site_fract_z
La1 La 0.000 0.000 0.000
Fe1 Fe 0.187 0.000 0.561
Au1 Au 0.000 0.500 0.500
# DFT total energy: -6.29 eV/atom
# ΔE_f: -9 meV/atom
# theoretical density: 9.2 Mg/m³

---

[7]
# La6FeAu2 | Alexandria via LeMat-Bulk | PBE | relaxed
data_La6FeAu2
_cell_length_a 7.098
_cell_length_b 7.564
_cell_length_c 12.315
_cell_angle_alpha 90.00
_cell_angle_beta 121.33
_cell_angle_gamma 90.00
_space_group_name_H-M_alt 'P 1 21/c 1'
_space_group_IT_number 14
loop_
_space_group_symop_operation_xyz
'x,y,z'
'-x,-y,-z'
'-x,y+1/2,-z+1/2'
'x,-y+1/2,z+1/2'
loop_
_atom_site_label
_atom_site_type_symbol
_atom_site_fract_x
_atom_site_fract_y
_atom_site_fract_z
La1 La 0.122 0.029 0.249
La2 La 0.240 0.696 0.063
La3 La 0.355 0.190 0.054
Fe1 Fe 0.000 0.000 0.000
Au1 Au 0.313 0.095 0.767
# DFT total energy: -5.31 eV/atom
# ΔE_f: -359 meV/atom
# theoretical density: 7.5 Mg/m³

---

[8]
# LaFe2Au | Alexandria via LeMat-Bulk | PBE | relaxed
data_LaFe2Au
_cell_length_a 4.1140
_cell_length_b 4.1140
_cell_length_c 16.3747
_cell_angle_alpha 90.00
_cell_angle_beta 90.00
_cell_angle_gamma 120.00
_space_group_name_H-M_alt 'R 3 m'
_space_group_IT_number 160
_space_group_name_Hall 'R 3 -2"'
loop_
_atom_site_label
_atom_site_type_symbol
_atom_site_fract_x
_atom_site_fract_y
_atom_site_fract_z
La1 La 0.0000 0.0000 0.0000
Fe1 Fe 0.0000 0.0000 0.4641
Fe2 Fe 0.0000 0.0000 0.7931
Au1 Au 0.0000 0.0000 0.2050
# DFT total energy: -6.30 eV/atom
# ΔE_f: -12 meV/atom
# theoretical density: 9.3 Mg/m³

---

> Which formula does entry 3 have?

La2FeAu